# 1
A plane-wave DFT calculation with PBE was carried out for an optimized crystal structure of ScVRu2.

For the density, the calculation gives 8.2 g/cm3. For the uncorrected energy, the calculation gives -0.330 Ha/atom. As for the calculated formation energy: -0.479 eV/atom.

It has space group P4/mmm (No. 123), with a = 3.081 Å, b = 3.081 Å, c = 6.324 Å, α = 90.00°, β = 90.00° and γ = 90.00°. The distinct sites, in fractional coordinates, are Sc at (0.000, 0.000, 0.000), V at (0.000, 0.000, 0.500) and Ru at (0.500, 0.500, 0.271).



# 2
A plane-wave DFT calculation with PBE was carried out for an optimized crystal structure of ScV2Ru.

For the density, the calculation gives 6.1 g/cm3. For the uncorrected energy, the calculation gives -0.300 Ha/atom. As for the calculated formation energy: 0.291 eV/atom.

It has space group I-42d (No. 122), with a = 7.121 Å, b = 7.121 Å, c = 5.342 Å, α = 90.00°, β = 90.00° and γ = 90.00°. The distinct sites, in fractional coordinates, are Sc at (0.000, 0.000, 0.000), V at (0.204, 0.250, 0.625) and Ru at (0.000, 0.000, 0.500).